This record from the Open Quantum Materials Database describes a relaxed structure of Th3BeS. The functional is PBE.

Properties
For the total energy, the calculation gives -0.3954 Ry per atom. The crystal system is hexagonal. As for the space group: P6_3/mmc, No. 194.

a b c (Å): 8.8682 8.8682 5.7437
angles (deg): 90.00 90.00 120.01
Closest atoms and distances in Å follow each position.
Atoms (fractional coordinates):
Be1 0.3333 0.6667 0.2500  3 Th 2.78
Be2 0.6667 0.3333 0.7500  3 Th 2.78
S1 0.0000 0.0000 0.0000  6 Th 2.74, 2 S 2.87
S2 0.0000 0.0000 0.5000  6 Th 2.74, 2 S 2.87
Th1 0.1523 0.3046 0.2500  2 S 2.74, 1 Be 2.78
Th2 0.6954 0.8477 0.2500  2 S 2.74, 1 Be 2.78
Th3 0.1523 0.8477 0.2500  2 S 2.74, 1 Be 2.78
Th4 0.8477 0.1523 0.7500  2 S 2.74, 1 Be 2.78
Th5 0.3046 0.1523 0.7500  2 S 2.74, 1 Be 2.78
Th6 0.8477 0.6954 0.7500  2 S 2.74, 1 Be 2.78

=====

This record from the Open Quantum Materials Database describes a relaxed structure of TmBeTlS3. The functional is PBE.

Properties
For the total energy, the calculation gives -0.3765 Ry per atom. The crystal system is orthorhombic. As for the space group: Cmcm, No. 63.

a b c (Å): 7.4854 7.4854 10.3059
angles (deg): 90.00 90.00 150.63
Closest atoms and distances in Å follow each position.
Atoms (fractional coordinates):
Be1 0.9631 0.0369 0.2500  4 S 2.09-2.29
Be2 0.0369 0.9631 0.7500  4 S 2.09-2.29
S1 0.8833 0.1167 0.0805  1 Be 2.09
S2 0.5518 0.4482 0.2500  2 Be 2.29
S3 0.8833 0.1167 0.4195  1 Be 2.09
S4 0.1167 0.8833 0.5805  1 Be 2.09
S5 0.4482 0.5518 0.7500  2 Be 2.29
S6 0.1167 0.8833 0.9195  1 Be 2.09
Tl1 0.2490 0.7510 0.2500  6 S 3.23-3.43
Tl2 0.7510 0.2490 0.7500  6 S 3.23-3.43
Tm1 0.5000 0.5000 0.0000  6 S 2.67-2.68
Tm2 0.5000 0.5000 0.5000  6 S 2.67-2.68

=====

This record from the Open Quantum Materials Database describes a relaxed structure of BeZnS2. The functional is PBE.

Properties
For the total energy, the calculation gives -0.3101 Ry per atom. The crystal system is tetragonal. As for the space group: P-4m2, No. 115.

a b c (Å): 3.6201 3.6201 5.2161
angles (deg): 90.00 90.00 90.00
Closest atoms and distances in Å follow each position.
Atoms (fractional coordinates):
Be1 0.0000 0.0000 0.5000  4 S 2.14
S1 0.5000 0.0000 0.2798  2 Be 2.14, 2 Zn 2.33
S2 0.0000 0.5000 0.7202  2 Be 2.14, 2 Zn 2.33
Zn1 0.5000 0.5000 0.0000  4 S 2.33

=====

This record from the Open Quantum Materials Database describes a relaxed structure of SmBeSb. The functional is PBE.

Properties
For the total energy, the calculation gives -0.2935 Ry per atom. The crystal system is cubic. As for the space group: F-43m, No. 216.

a b c (Å): 4.9376 4.9376 4.9376
angles (deg): 60.00 60.00 60.00
Closest atoms and distances in Å follow each position.
Atoms (fractional coordinates):
Be1 0.2500 0.2500 0.2500  4 Sm 3.02
Sb1 0.7500 0.7500 0.7500  4 Sm 3.02
Sm1 0.0000 0.0000 0.0000  4 Sb 3.02, 4 Be 3.02

=====

This record from the Open Quantum Materials Database describes a relaxed structure of TaBeSb. The functional is PBE.

Properties
For the total energy, the calculation gives -0.4217 Ry per atom. The crystal system is cubic. As for the space group: F-43m, No. 216. Its energy above the most stable polymorph in this dataset is 162 meV/atom.

a b c (Å): 4.4564 4.4564 4.4564
angles (deg): 60.00 60.00 60.00
Closest atoms and distances in Å follow each position.
Atoms (fractional coordinates):
Be1 0.2500 0.2500 0.2500  4 Ta 2.73
Sb1 0.7500 0.7500 0.7500  4 Ta 2.73
Ta1 0.0000 0.0000 0.0000  4 Sb 2.73, 4 Be 2.73

=====

This record from the Open Quantum Materials Database describes a relaxed structure of TaBeSb. The functional is PBE.

Properties
For the total energy, the calculation gives -0.4336 Ry per atom. The crystal system is cubic. As for the space group: F-43m, No. 216. Its energy above the most stable polymorph in this dataset is 0 meV/atom.

a b c (Å): 4.2274 4.2274 4.2274
angles (deg): 60.00 60.00 60.00
Closest atoms and distances in Å follow each position.
Atoms (fractional coordinates):
Be1 0.0000 0.0000 0.0000  4 Ta 2.59, 4 Sb 2.59
Sb1 0.2500 0.2500 0.2500  4 Be 2.59
Ta1 0.7500 0.7500 0.7500  4 Be 2.59

=====

This record from the Open Quantum Materials Database describes a relaxed structure of Ta2BeSb. The functional is PBE.

Properties
For the total energy, the calculation gives -0.5423 Ry per atom. The crystal system is cubic. As for the space group: F-43m, No. 216.

a b c (Å): 4.6004 4.6004 4.6004
angles (deg): 60.00 60.00 60.00
Closest atoms and distances in Å follow each position.
Atoms (fractional coordinates):
Be1 0.2500 0.2500 0.2500  4 Ta 2.82, 4 Sb 2.82
Sb1 0.5000 0.5000 0.5000  4 Ta 2.82, 4 Be 2.82
Ta1 0.0000 0.0000 0.0000  4 Be 2.82, 4 Ta 2.82
Ta2 0.7500 0.7500 0.7500  4 Sb 2.82, 4 Ta 2.82

=====

This record from the Open Quantum Materials Database describes a relaxed structure of TaBeSbW. The functional is PBE.

Properties
For the total energy, the calculation gives -0.5578 Ry per atom. The crystal system is cubic. As for the space group: F-43m, No. 216. Its energy above the most stable polymorph in this dataset is 107 meV/atom.

a b c (Å): 4.5158 4.5158 4.5158
angles (deg): 60.00 60.00 60.00
Closest atoms and distances in Å follow each position.
Atoms (fractional coordinates):
Be1 0.7500 0.7500 0.7500  4 Ta 2.77, 4 W 2.77
Sb1 0.2500 0.2500 0.2500  4 W 2.77, 4 Ta 2.77
Ta1 0.5000 0.5000 0.5000  4 Be 2.77, 4 Sb 2.77
W1 0.0000 0.0000 0.0000  4 Sb 2.77, 4 Be 2.77

=====

This record from the Open Quantum Materials Database describes a relaxed structure of TaBeSbW. The functional is PBE.

Properties
For the total energy, the calculation gives -0.5657 Ry per atom. The crystal system is cubic. As for the space group: F-43m, No. 216. Its energy above the most stable polymorph in this dataset is 0 meV/atom.

a b c (Å): 4.5255 4.5255 4.5255
angles (deg): 60.00 60.00 60.00
Closest atoms and distances in Å follow each position.
Atoms (fractional coordinates):
Be1 0.7500 0.7500 0.7500  4 Sb 2.77, 4 Ta 2.77
Sb1 0.0000 0.0000 0.0000  4 W 2.77, 4 Be 2.77
Ta1 0.5000 0.5000 0.5000  4 Be 2.77, 4 W 2.77
W1 0.2500 0.2500 0.2500  4 Sb 2.77, 4 Ta 2.77

=====

This record from the Open Quantum Materials Database describes a relaxed structure of TbBeSb. The functional is PBE.

Properties
For the total energy, the calculation gives -0.2889 Ry per atom. The crystal system is cubic. As for the space group: F-43m, No. 216.

a b c (Å): 4.7357 4.7357 4.7357
angles (deg): 60.00 60.00 60.00
Closest atoms and distances in Å follow each position.
Atoms (fractional coordinates):
Be1 0.2500 0.2500 0.2500  4 Sb 2.90
Sb1 0.0000 0.0000 0.0000  4 Tb 2.90, 4 Be 2.90
Tb1 0.7500 0.7500 0.7500  4 Sb 2.90

=====

This record from the Open Quantum Materials Database describes a relaxed structure of BeTc2Sb. The functional is PBE.

Properties
For the total energy, the calculation gives -0.4972 Ry per atom. The crystal system is cubic. As for the space group: F-43m, No. 216.

a b c (Å): 4.3874 4.3874 4.3874
angles (deg): 60.00 60.00 60.00
Closest atoms and distances in Å follow each position.
Atoms (fractional coordinates):
Be1 0.2500 0.2500 0.2500  4 Sb 2.69, 4 Tc 2.69
Sb1 0.5000 0.5000 0.5000  4 Be 2.69, 4 Tc 2.69
Tc1 0.0000 0.0000 0.0000  4 Be 2.69, 4 Tc 2.69
Tc2 0.7500 0.7500 0.7500  4 Sb 2.69, 4 Tc 2.69

=====

This record from the Open Quantum Materials Database describes a relaxed structure of TmBeSb. The functional is PBE.

Properties
For the total energy, the calculation gives -0.2883 Ry per atom. The crystal system is cubic. As for the space group: F-43m, No. 216. Its energy above the most stable polymorph in this dataset is 0 meV/atom.

a b c (Å): 4.8009 4.8009 4.8009
angles (deg): 60.00 60.00 60.00
Closest atoms and distances in Å follow each position.
Atoms (fractional coordinates):
Be1 0.2500 0.2500 0.2500  4 Tm 2.94
Sb1 0.7500 0.7500 0.7500  4 Tm 2.94
Tm1 0.0000 0.0000 0.0000  4 Sb 2.94, 4 Be 2.94

=====

This record from the Open Quantum Materials Database describes a relaxed structure of TmBeSb. The functional is PBE.

Properties
For the total energy, the calculation gives -0.2814 Ry per atom. The crystal system is cubic. As for the space group: F-43m, No. 216. Its energy above the most stable polymorph in this dataset is 93 meV/atom.

a b c (Å): 4.6915 4.6915 4.6915
angles (deg): 60.00 60.00 60.00
Closest atoms and distances in Å follow each position.
Atoms (fractional coordinates):
Be1 0.2500 0.2500 0.2500  4 Sb 2.87
Sb1 0.0000 0.0000 0.0000  4 Be 2.87, 4 Tm 2.87
Tm1 0.7500 0.7500 0.7500  4 Sb 2.87

=====

This record from the Open Quantum Materials Database describes a relaxed structure of UBeSb. The functional is PBE.

Properties
For the total energy, the calculation gives -0.4103 Ry per atom. The crystal system is cubic. As for the space group: F-43m, No. 216. Its energy above the most stable polymorph in this dataset is 553 meV/atom.

a b c (Å): 4.7505 4.7505 4.7505
angles (deg): 60.00 60.00 60.00
Closest atoms and distances in Å follow each position.
Atoms (fractional coordinates):
Be1 0.0000 0.0000 0.0000  4 Sb 2.91
Sb1 0.7500 0.7500 0.7500  4 Be 2.91, 4 U 2.91
U1 0.5000 0.5000 0.5000  4 Sb 2.91

=====

This record from the Open Quantum Materials Database describes a relaxed structure of UBeSb. The functional is PBE.

Properties
For the total energy, the calculation gives -0.4151 Ry per atom. The crystal system is cubic. As for the space group: F-43m, No. 216. Its energy above the most stable polymorph in this dataset is 488 meV/atom.

a b c (Å): 4.8340 4.8340 4.8340
angles (deg): 60.00 60.00 60.00
Closest atoms and distances in Å follow each position.
Atoms (fractional coordinates):
Be1 0.2500 0.2500 0.2500  4 U 2.96
Sb1 0.7500 0.7500 0.7500  4 U 2.96
U1 0.0000 0.0000 0.0000  4 Be 2.96, 4 Sb 2.96

=====

This record from the Open Quantum Materials Database describes a relaxed structure of UBeSb. The functional is PBE.

Properties
For the total energy, the calculation gives -0.4510 Ry per atom. The crystal system is cubic. As for the space group: F-43m, No. 216. Its energy above the most stable polymorph in this dataset is 0 meV/atom.

a b c (Å): 4.4534 4.4534 4.4534
angles (deg): 60.00 60.00 60.00
Closest atoms and distances in Å follow each position.
Atoms (fractional coordinates):
Be1 0.0000 0.0000 0.0000  4 Sb 2.73, 4 U 2.73
Sb1 0.2500 0.2500 0.2500  4 Be 2.73
U1 0.7500 0.7500 0.7500  4 Be 2.73

=====

This record from the Open Quantum Materials Database describes a relaxed structure of BeSbW2. The functional is PBE.

Properties
For the total energy, the calculation gives -0.5744 Ry per atom. The crystal system is cubic. As for the space group: F-43m, No. 216.

a b c (Å): 4.4788 4.4788 4.4788
angles (deg): 60.00 60.00 60.00
Closest atoms and distances in Å follow each position.
Atoms (fractional coordinates):
Be1 0.2500 0.2500 0.2500  4 Sb 2.74, 4 W 2.74
Sb1 0.5000 0.5000 0.5000  4 Be 2.74, 4 W 2.74
W1 0.0000 0.0000 0.0000  4 W 2.74, 4 Be 2.74
W2 0.7500 0.7500 0.7500  4 W 2.74, 4 Sb 2.74

=====

This record from the Open Quantum Materials Database describes a relaxed structure of Be2ZnSb. The functional is PBE.

Properties
For the total energy, the calculation gives -0.1823 Ry per atom. The crystal system is cubic. As for the space group: F-43m, No. 216.

a b c (Å): 4.4844 4.4844 4.4844
angles (deg): 60.00 60.00 60.00
Closest atoms and distances in Å follow each position.
Atoms (fractional coordinates):
Be1 0.0000 0.0000 0.0000  4 Zn 2.75, 4 Be 2.75
Be2 0.7500 0.7500 0.7500  4 Sb 2.75, 4 Be 2.75
Sb1 0.5000 0.5000 0.5000  4 Be 2.75, 4 Zn 2.75
Zn1 0.2500 0.2500 0.2500  4 Be 2.75, 4 Sb 2.75

=====

This record from the Open Quantum Materials Database describes a relaxed structure of BeZn2Sb. The functional is PBE.

Properties
For the total energy, the calculation gives -0.1569 Ry per atom. The crystal system is cubic. As for the space group: F-43m, No. 216.

a b c (Å): 4.6301 4.6301 4.6301
angles (deg): 60.00 60.00 60.00
Closest atoms and distances in Å follow each position.
Atoms (fractional coordinates):
Be1 0.0000 0.0000 0.0000  4 Zn 2.84, 4 Sb 2.84
Sb1 0.2500 0.2500 0.2500  4 Zn 2.84, 4 Be 2.84
Zn1 0.5000 0.5000 0.5000  4 Sb 2.84, 4 Zn 2.84
Zn2 0.7500 0.7500 0.7500  4 Be 2.84, 4 Zn 2.84

=====

This record from the Open Quantum Materials Database describes a relaxed structure of BeZnSb2. The functional is PBE.

Properties
For the total energy, the calculation gives -0.1975 Ry per atom. The crystal system is cubic. As for the space group: F-43m, No. 216.

a b c (Å): 4.9494 4.9494 4.9494
angles (deg): 60.00 60.00 60.00
Closest atoms and distances in Å follow each position.
Atoms (fractional coordinates):
Be1 0.7500 0.7500 0.7500  4 Sb 3.03, 4 Zn 3.03
Sb1 0.0000 0.0000 0.0000  4 Sb 3.03, 4 Be 3.03
Sb2 0.2500 0.2500 0.2500  4 Zn 3.03, 4 Sb 3.03
Zn1 0.5000 0.5000 0.5000  4 Sb 3.03, 4 Be 3.03